Material: Tl2HgTe
Method: DFT, GGA-PBE
State: relaxed

Summary:
For the total magnetization, the calculation gives 0.00 μB/f.u. The volume comes out at 127.1 Å³/f.u. As for the calculated density: 9.6 g/cm³. The calculation puts the distance to the lowest polymorph of the same formula at 17 kJ/mol of formula units.

```
4
Lattice="5.3132 0.0000 0.0000 0.0000 5.3132 0.0000 0.0000 0.0000 4.5028" Properties=species:S:1:pos:R:3 pbc="T T T"
Tl 0.0000 2.6566 0.0000
Tl 2.6566 0.0000 0.0000
Hg 0.0000 0.0000 2.2514
Te 2.6566 2.6566 2.2514
```